DFT (GGA-PBE) results for an optimized crystal structure of TbHfCu4.

```
TbHfCu4
1.0
-3.587 -3.253 -1.734
1.252 -4.870 -1.082
-1.681 -3.817 3.010
Tb Hf Cu
1 1 4
Direct
0.000 0.000 0.000
0.250 0.250 0.250
0.624 0.624 0.127
0.624 0.127 0.624
0.624 0.624 0.624
0.127 0.624 0.624
```

Properties
Its space group is No. 216. The total moment comes out at 0.000 μB/atom. The energy of formation comes out at -0.069 eV per atom. The offset from the most stable computed form is 58 kJ/mol of formula units.



DFT (GGA-PBE) results for an optimized crystal structure of NaLaNiCl2.

```
NaLaNiCl2
1.0
-0.436 3.233 3.828
-0.564 -3.756 3.108
4.977 -0.164 0.705
Ni Cl Na La
1 2 1 1
Direct
0.000 0.000 0.000
0.000 0.000 0.500
0.500 0.000 0.000
0.500 0.500 0.500
0.000 0.500 0.000
```

Properties
Its space group is No. 123. The total moment comes out at 0.000 μB/atom. Its formation energy from raw total energies is -2.21 eV/f.u.



DFT (GGA-PBE) results for an optimized crystal structure of Tl2Pt2W.

```
Tl2Pt2W
1.0
-1.843 1.843 7.835
1.843 -1.843 7.835
1.843 1.843 -7.835
Tl Pt W
2 2 1
Direct
0.606 0.606 0.000
0.394 0.394 0.000
0.250 0.750 0.500
0.750 0.250 0.500
0.000 0.000 0.000
```

Properties
Its space group is No. 139. The total moment comes out at 0.510 μB/atom. The energy of formation comes out at 0.918 eV per atom.



DFT (GGA-PBE) results for an optimized crystal structure of CuSBrCl2.

```
CuSBrCl2
1.0
-1.130 4.274 -0.772
-2.532 -1.296 -3.471
-4.117 -0.511 3.194
S Cu Br Cl
1 1 1 2
Direct
0.000 0.000 0.500
0.000 0.000 0.000
0.500 0.500 0.500
0.000 0.500 0.000
0.500 0.000 0.000
```

Properties
Its space group is No. 123. The total moment comes out at 0.000 μB/atom. The offset from the most stable computed form is 0 kJ/mol of formula units. Its formation energy from raw total energies is 1.41 eV/f.u.



DFT (GGA-PBE) results for an optimized crystal structure of GeTeIr2.

```
GeTeIr2
1.0
0.000 3.250 3.250
3.250 0.000 3.250
3.250 3.250 0.000
Ge Ir Te
1 2 1
Direct
0.000 0.000 0.000
0.250 0.250 0.250
0.750 0.750 0.750
0.500 0.500 0.500
```

Properties
Its space group is No. 225. The total moment comes out at 0.000 μB/atom. The offset from the most stable computed form is 70 kJ/mol of formula units. Its formation energy from raw total energies is 1.53 eV/f.u.



DFT (GGA-PBE) results for an optimized crystal structure of Y3Ga8Au3.

```
Y3Ga8Au3
1.0
4.337 0.000 0.000
2.169 8.034 -0.003
2.169 2.185 7.732
Y Ga Au
3 8 3
Direct
0.500 0.500 0.500
0.808 0.192 0.192
0.192 0.808 0.808
0.641 0.079 0.640
0.359 0.921 0.360
0.641 0.640 0.079
0.359 0.360 0.921
0.837 0.791 0.535
0.163 0.209 0.465
0.837 0.535 0.791
0.163 0.465 0.209
0.500 0.000 0.000
0.000 0.790 0.210
0.000 0.210 0.790
```

Properties
Its space group is No. 71. The total moment comes out at 0.000 μB/atom. The energy of formation comes out at -0.553 eV per atom. The offset from the most stable computed form is 21 kJ/mol of formula units.



Which of these has the highest total moment?
Tl2Pt2W



Copy entry 1 word for word.
DFT (GGA-PBE) results for an optimized crystal structure of TbHfCu4.

```
TbHfCu4
1.0
-3.587 -3.253 -1.734
1.252 -4.870 -1.082
-1.681 -3.817 3.010
Tb Hf Cu
1 1 4
Direct
0.000 0.000 0.000
0.250 0.250 0.250
0.624 0.624 0.127
0.624 0.127 0.624
0.624 0.624 0.624
0.127 0.624 0.624
```

Properties
Its space group is No. 216. The total moment comes out at 0.000 μB/atom. The energy of formation comes out at -0.069 eV per atom. The offset from the most stable computed form is 58 kJ/mol of formula units.



Number 1 is which compound?
TbHfCu4



The highest total moment belongs to which entry?
Tl2Pt2W